# 1
# Sr5Mg

Sr5Mg after structural relaxation (GGA-PBEsol, Alexandria via LeMat-Bulk).

Unit cell a=6.9811 b=6.9811 c=6.5398 alpha=90.00 beta=90.00 gamma=120.00
Closest atoms and distances in Å follow each position.
Space group P-62m (No. 189)
Asymmetric unit:
Sr 0.0000 0.6807 0.0000 x3  10 Sr 3.86-4.12, 2 Mg 3.96
Sr 0.3333 0.6667 0.5000 x2  3 Mg 4.03, 9 Sr 4.03-4.04
Mg 0.0000 0.0000 0.5000 x1  12 Sr 3.96-4.03

Energy above the most stable polymorph in this dataset: 45 meV per atom
ΔE_f: 0.198 eV per formula unit

=====

# 2
# ScSeS2

ScSeS2 after structural relaxation (GGA-PBEsol, Alexandria via LeMat-Bulk).

Unit cell a=4.6714 b=4.6714 c=15.7762 alpha=90.00 beta=90.00 gamma=90.00
Closest atoms and distances in Å follow each position.
Space group I-42d (No. 122)
Asymmetric unit:
Sc 0.0000 0.0000 0.0000 x4  4 S 2.53
Se 0.0000 0.0000 0.5000 x4  4 S 2.62
S 0.2293 0.2500 0.1250 x8  2 Sc 2.53, 2 Se 2.62

Formation energy (no corrections): -0.510 eV/atom

=====

# 3
# Mn3SnP6O24

Mn3SnP6O24 after structural relaxation (GGA-PBEsol, Alexandria via LeMat-Bulk).

Unit cell a=8.1454 b=8.1454 c=21.6307 alpha=90.00 beta=90.00 gamma=120.00
Closest atoms and distances in Å follow each position.
Space group R3 (No. 146, hexagonal axes)
Asymmetric unit:
Mn 0.0000 0.0000 0.0000 x3  6 O 1.82-1.83
Mn 0.0000 0.0000 0.2133 x3  6 O 1.87
Mn 0.0000 0.0000 0.7180 x3  6 O 1.85-1.86
Sn 0.0000 0.0000 0.5019 x3  6 O 2.03-2.04
P 0.0016 0.7124 0.6095 x9  4 O 1.53-1.55
P 0.0643 0.3836 0.7758 x9  4 O 1.53-1.55
O 0.0408 0.8385 0.9524 x9  1 P 1.55
O 0.0847 0.8674 0.2620 x9  1 P 1.54
O 0.0905 0.8573 0.5572 x9  1 P 1.53
O 0.1491 0.6780 0.3369 x9  1 P 1.54
O 0.1651 0.4798 0.4373 x9  1 P 1.54
O 0.1679 0.4690 0.7147 x9  1 P 1.53
O 0.1913 0.4288 0.1165 x9  1 P 1.53
O 0.2067 0.4519 0.8301 x9  1 P 1.55

Formation energy (no corrections): -1.873 eV/atom

=====

# 4
# YAgSbTe2

YAgSbTe2 after structural relaxation (GGA-PBEsol, Alexandria via LeMat-Bulk).

Unit cell a=5.7031 b=5.7031 c=5.7078 alpha=90.00 beta=90.00 gamma=90.00
Closest atoms and distances in Å follow each position.
Space group P4/mmm (No. 123)
Asymmetric unit:
Y 0.0000 0.0000 0.0000 x1  4 Te 2.85, 2 Sb 2.85
Ag 0.5000 0.5000 0.5000 x1  4 Sb 4.03, 8 Te 4.03
Sb 0.0000 0.0000 0.5000 x1  2 Y 2.85
Te 0.0000 0.5000 0.0000 x2  2 Y 2.85

Formation energy (no corrections): 0.302 eV/atom

=====

# 5
# ZnCoO2

ZnCoO2 after structural relaxation (GGA-PBEsol, Alexandria via LeMat-Bulk).

Unit cell a=4.4975 b=4.4975 c=9.1135 alpha=90.00 beta=90.00 gamma=90.00
Closest atoms and distances in Å follow each position.
Space group I-42d (No. 122)
Asymmetric unit:
Zn 0.0000 0.0000 0.0000 x4  4 O 1.97
Co 0.0000 0.0000 0.5000 x4  4 O 1.94
O 0.2440 0.2500 0.6250 x8  2 Co 1.94, 2 Zn 1.97

Formation energy (no corrections): -0.955 eV/atom

=====

# 6
# Zr2ZnIn

Zr2ZnIn after structural relaxation (GGA-PBEsol, Alexandria via LeMat-Bulk).

Unit cell a=4.3889 b=4.4036 c=8.2821 alpha=90.00 beta=90.00 gamma=90.00
Closest atoms and distances in Å follow each position.
Space group Cmm2 (No. 35)
Asymmetric unit:
Zr 0.0000 0.0000 0.0000 x2  8 Zr 3.11-3.19, 4 In 3.13
Zr 0.0000 0.5000 0.2793 x2  4 Zn 2.89-2.90, 8 Zr 3.11-3.19
Zn 0.0000 0.0000 0.5067 x2  4 In 2.87-2.88, 4 Zr 2.89-2.90, 4 Zn 3.11
In 0.0000 0.5000 0.7308 x2  4 Zn 2.87-2.88, 4 In 3.11, 4 Zr 3.13

ΔE_f: -0.591 eV per formula unit

=====

# 7
# As2PSeO

As2PSeO after structural relaxation (GGA-PBEsol, Alexandria via LeMat-Bulk).

Unit cell a=4.2920 b=4.2920 c=4.4872 alpha=90.00 beta=90.00 gamma=90.00
Closest atoms and distances in Å follow each position.
Space group P4/mmm (No. 123)
Asymmetric unit:
As 0.0000 0.5000 0.0000 x2  2 O 2.15
P 0.0000 0.0000 0.5000 x1  4 Se 3.03, 8 As 3.10
Se 0.5000 0.5000 0.5000 x1  2 O 2.24
O 0.5000 0.5000 0.0000 x1  4 As 2.15, 2 Se 2.24

Formation energy (no corrections): 0.529 eV/atom

=====

# 8
# PRuSe2

PRuSe2 after structural relaxation (GGA-PBEsol, Alexandria via LeMat-Bulk).

Unit cell a=4.5016 b=4.5016 c=3.0513 alpha=90.00 beta=90.00 gamma=90.00
Closest atoms and distances in Å follow each position.
Space group P4/mmm (No. 123)
Asymmetric unit:
P 0.0000 0.0000 0.0000 x1  8 Se 2.72
Ru 0.5000 0.5000 0.0000 x1  8 Se 2.72
Se 0.0000 0.5000 0.5000 x2  4 Ru 2.72, 4 P 2.72

Formation energy (no corrections): 0.462 eV/atom

=====

| no. | E_tot (eV per atom) |
| --- | --- |
| 1 | -1.79 |
| 2 | -5.32 |
| 3 | -7.59 |
| 4 | -4.05 |
| 5 | -5.91 |
| 6 | -5.83 |
| 7 | -4.49 |
| 8 | -5.45 |